This record from OQMD via LeMat-Bulk describes a relaxed TbCuGeTeSe2 crystal. The functional is PBE-GGA.

Values from the calculation:
The space group is No. 63. The value obtained for the total energy is -55.08 eV/cell.

The structure in POSCAR format:
```
TbCuGeTeSe2
1.0
1.989 -6.722 0.000
1.989 6.722 0.000
0.000 0.000 11.070
Tb Cu Ge Te Se
2 2 2 2 4
Cartesian
0.000 0.000 0.000
0.000 0.000 5.535
1.989 0.387 8.302
1.989 -0.387 2.767
1.989 4.066 2.767
1.989 -4.066 8.302
1.989 5.340 8.302
1.989 -5.340 2.767
1.989 1.910 6.358
1.989 1.910 10.247
1.989 -1.910 0.823
1.989 -1.910 4.712
```